# 1
An optimized crystal structure of RbThPa2O8. Source: the Alexandria database, functional PBE.

Values from the calculation:
As for the symmetry: I-4m2. The value obtained for the formation energy without anion corrections is -301.7 kJ/mol of atoms. The value obtained for the density of states at the Fermi level is 5.97 states/eV/cell. The total moment is 1.05 μB per cell.

POSCAR file:
```
RbThPa2O8
1.0
5.636 0.000 0.000
0.000 5.636 0.000
-2.818 -2.818 5.491
Rb Th Pa O
1 1 2 8
Cartesian
2.818 0.000 2.746 Rb
0.000 0.000 0.000 Th
2.818 2.818 0.000 Pa
0.000 2.818 2.746 Pa
4.318 4.052 1.291 O
1.318 1.584 1.291 O
1.236 1.504 4.198 O
-1.236 -1.504 4.198 O
4.322 1.582 1.294 O
1.314 4.054 1.294 O
-1.234 1.500 4.200 O
1.234 -1.500 4.200 O
```


# 2
An optimized crystal structure of CaH4Pt. Source: the Alexandria database, functional PBE.

Values from the calculation:
As for the symmetry: C2/m. The value obtained for the density of states at the Fermi level is 0.00 states/eV/cell. The total moment is 0.00 μB per cell. The raw total energy comes out at -4.072 eV/atom.

POSCAR file:
```
CaH4Pt
1.0
3.556 0.001 1.642
1.186 3.945 2.084
0.018 0.054 4.616
Ca H Pt
1 4 1
Cartesian
0.611 2.010 3.353 Ca
2.490 0.363 3.968 H
2.289 3.657 4.379 H
1.700 1.698 5.654 H
3.078 2.323 2.693 H
1.806 0.065 5.440 Pt
```


# 3
An optimized crystal structure of AgS2Br. Source: the Alexandria database, functional PBE.

Values from the calculation:
Its distance to the lowest polymorph of the same formula is 272 kJ/mol of formula units. As for the symmetry: Fm-3m. The value obtained for the formation energy without anion corrections is 84.4 kJ/mol of atoms. The value obtained for the density of states at the Fermi level is 3.69 states/eV/cell. The total moment is 0.00 μB per cell.

POSCAR file:
```
AgS2Br
1.0
-2.405 2.124 3.538
-3.673 2.882 -1.004
-4.460 -1.373 1.016
S Br Ag
2 1 1
Cartesian
-2.635 0.908 0.887 S
-7.904 2.725 2.662 S
0.000 0.000 0.000 Br
-5.269 1.817 1.775 Ag
```


# 4
An optimized crystal structure of LiSmMg2. Source: the Alexandria database, functional PBE.

Values from the calculation:
For the energy relative to the elements, the calculation gives -45 meV per atom. Its distance to the lowest polymorph of the same formula is 2 kJ/mol of formula units. As for the symmetry: P4/mmm. The value obtained for the density of states at the Fermi level is 4.30 states/eV/cell. The total moment is 0.16 μB per cell.

POSCAR file:
```
LiSmMg2
1.0
3.542 0.000 0.000
0.000 3.542 0.000
0.000 0.000 7.914
Mg Sm Li
2 1 1
Cartesian
0.000 0.000 6.244 Mg
0.000 0.000 1.670 Mg
1.771 1.771 3.957 Sm
1.771 1.771 0.000 Li
```


# 5
An optimized crystal structure of Ba2MgCd3Bi4. Source: the Alexandria database, functional PBE.

Values from the calculation:
For the energy relative to the elements, the calculation gives -387 meV per atom. As for the symmetry: P-4m2. The value obtained for the density of states at the Fermi level is 3.92 states/eV/cell. The total moment is 0.00 μB per cell.

POSCAR file:
```
Ba2MgCd3Bi4
1.0
-3.413 -2.444 2.630
0.629 -3.980 -2.883
9.825 -4.593 8.482
Ba Mg Cd Bi
2 1 3 4
Cartesian
0.643 -2.321 3.344 Ba
7.789 -5.484 5.012 Ba
3.520 -5.508 4.115 Mg
4.912 -2.296 4.241 Cd
6.733 -5.168 8.602 Cd
1.699 -2.637 -0.246 Cd
-1.392 -3.212 -0.126 Bi
0.000 0.000 0.000 Bi
4.549 -4.146 6.716 Bi
3.883 -3.658 1.640 Bi
```


# 6
An optimized crystal structure of KReSe. Source: the Alexandria database, functional PBE.

Values from the calculation:
Its distance to the lowest polymorph of the same formula is 209 kJ/mol of formula units. As for the symmetry: P-6m2. The value obtained for the formation energy without anion corrections is 106.5 kJ/mol of atoms. The value obtained for the density of states at the Fermi level is 3.43 states/eV/cell. The total moment is 0.71 μB per cell.

POSCAR file:
```
KReSe
1.0
5.103 0.000 0.000
-2.552 4.419 0.000
0.000 0.000 2.748
K Re Se
1 1 1
Cartesian
0.000 0.000 0.001 K
2.552 1.473 1.374 Re
0.000 2.946 1.374 Se
```


# 7
An optimized crystal structure of La6Pm5Er. Source: the Alexandria database, functional PBE.

Values from the calculation:
For the energy relative to the elements, the calculation gives 18 meV per atom. As for the symmetry: P-1. The value obtained for the density of states at the Fermi level is 20.62 states/eV/cell. The total moment is 0.00 μB per cell.

POSCAR file:
```
La6Pm5Er
1.0
-2.314 -5.556 -2.009
4.010 -3.539 5.139
-4.888 -1.170 8.363
Er Pm La
1 5 6
Cartesian
0.000 0.000 0.000 Er
-4.141 -5.078 5.096 Pm
-1.068 -3.430 3.828 Pm
2.005 -1.770 2.570 Pm
-2.123 -6.836 7.665 Pm
0.949 -5.188 6.397 Pm
-1.207 -7.096 4.104 La
-3.218 -5.320 1.527 La
-3.029 -6.611 11.222 La
-0.162 -3.655 0.271 La
0.027 -4.946 9.967 La
-1.985 -3.170 7.389 La
```


# 8
An optimized crystal structure of PmEr3Pd12. Source: the Alexandria database, functional PBE.

Values from the calculation:
For the energy relative to the elements, the calculation gives -873 meV per atom. As for the symmetry: P4/mmm. The value obtained for the density of states at the Fermi level is 12.26 states/eV/cell. The total moment is 0.00 μB per cell.

POSCAR file:
```
PmEr3Pd12
1.0
4.120 0.000 0.000
0.000 4.120 0.000
0.000 0.000 16.542
Pm Er Pd
1 3 12
Cartesian
0.000 0.000 0.000 Pm
0.000 0.000 4.188 Er
0.000 0.000 8.271 Er
0.000 0.000 12.353 Er
2.060 2.060 0.000 Pd
2.060 2.060 4.175 Pd
2.060 2.060 8.271 Pd
2.060 2.060 12.367 Pd
2.060 0.000 2.141 Pd
2.060 0.000 6.224 Pd
2.060 0.000 10.318 Pd
2.060 0.000 14.401 Pd
0.000 2.060 2.141 Pd
0.000 2.060 6.224 Pd
0.000 2.060 10.318 Pd
0.000 2.060 14.401 Pd
```


# 9
An optimized crystal structure of YZrTe. Source: the Alexandria database, functional PBE.

Values from the calculation:
Its distance to the lowest polymorph of the same formula is 0 kJ/mol of formula units. As for the symmetry: I4mm. The value obtained for the formation energy without anion corrections is -60.0 kJ/mol of atoms. The value obtained for the density of states at the Fermi level is 2.27 states/eV/cell. The total moment is 0.00 μB per cell.

POSCAR file:
```
YZrTe
1.0
6.136 -0.007 0.008
4.985 3.578 0.006
1.151 0.372 3.566
Te Y Zr
1 1 1
Cartesian
1.387 0.447 3.482 Te
4.450 1.430 2.391 Y
7.587 2.437 1.273 Zr
```


# 10
An optimized crystal structure of AcNd4Ho6. Source: the Alexandria database, functional PBE.

Values from the calculation:
For the energy relative to the elements, the calculation gives 430 meV per atom. Its distance to the lowest polymorph of the same formula is 72 kJ/mol of formula units. As for the symmetry: I-42m. The value obtained for the density of states at the Fermi level is 18.84 states/eV/cell. The total moment is 0.00 μB per cell.

POSCAR file:
```
AcNd4Ho6
1.0
8.006 0.000 0.000
0.000 8.006 0.000
-4.003 -4.003 6.323
Ac Nd Ho
1 4 6
Cartesian
4.003 4.003 0.000 Ac
-2.641 2.641 5.416 Nd
6.644 6.644 0.907 Nd
2.641 -2.641 5.416 Nd
1.362 1.362 0.907 Nd
6.204 1.802 2.420 Ho
1.802 6.204 2.420 Ho
2.201 2.201 3.903 Ho
0.000 4.003 0.000 Ho
-2.201 -2.201 3.903 Ho
4.003 0.000 0.000 Ho
```


# 11
An optimized crystal structure of CoNiSb2. Source: the Alexandria database, functional PBE.

Values from the calculation:
As for the symmetry: R-3m. The value obtained for the formation energy without anion corrections is 11.7 kJ/mol of atoms. The value obtained for the density of states at the Fermi level is 3.05 states/eV/cell. The total moment is 0.57 μB per cell.

POSCAR file:
```
CoNiSb2
1.0
-2.680 5.877 3.947
-5.041 3.588 4.360
-2.333 3.539 6.271
Co Ni Sb
1 1 2
Cartesian
-2.513 3.251 3.644 Co
-7.540 9.753 10.933 Ni
-10.046 12.994 14.566 Sb
-5.035 6.512 7.300 Sb
```


# 12
An optimized crystal structure of Sc6P2PdS3. Source: the Alexandria database, functional PBE.

Values from the calculation:
As for the symmetry: C2/m. The value obtained for the formation energy without anion corrections is -150.2 kJ/mol of atoms. The value obtained for the density of states at the Fermi level is 5.97 states/eV/cell. The total moment is 0.00 μB per cell.

POSCAR file:
```
Sc6P2PdS3
1.0
-2.266 -2.452 1.629
5.957 -3.449 3.094
-0.969 6.851 4.726
Sc P Pd S
6 2 1 3
Cartesian
4.031 0.561 6.450 Sc
1.597 -1.309 4.488 Sc
-1.309 0.389 3.000 Sc
1.546 -0.886 0.817 Sc
1.175 1.835 8.634 Sc
1.124 2.258 4.962 Sc
1.442 0.231 6.589 P
1.280 0.718 2.861 P
-1.133 -1.226 0.815 Pd
1.846 -2.951 2.362 S
-1.538 1.949 5.030 S
4.260 -1.000 4.421 S
```


Question: Look up the total moment of the tenth one.
Answer: 0.00 μB per cell


Question: Which value of total moment does entry 4 give?
Answer: 0.16 μB per cell